# ReSnBr2 (PBE, relaxed)
# - DOS(E_F) (states/eV/f.u.) = 4.45
# - E_form (uncorrected) (eV/f.u.) = 2.4
# - offset from the most stable computed form (meV/atom) = 123
# - V (Å³/atom) = 26.8
data_ReSnBr2
_symmetry_space_group_name_H-M 'P 1'
_symmetry_Int_Tables_number 1
_symmetry_space_group_name_Hall 'P 1'
_cell_length_a 11.404
_cell_length_b 11.404
_cell_length_c 11.404
_cell_angle_alpha 16.75
_cell_angle_beta 16.75
_cell_angle_gamma 16.75
loop_
_atom_site_label
_atom_site_type_symbol
_atom_site_fract_x
_atom_site_fract_y
_atom_site_fract_z
Re1 Re 0.500 0.500 0.500
Sn1 Sn 0.000 0.000 0.000
Br1 Br 0.886 0.886 0.886
Br2 Br 0.114 0.114 0.114